An optimized crystal structure of Sc2ReSb. Source: Alexandria, functional GGA-PBE.

## Properties
Its uncorrected energy is -30.2 eV per formula unit. The calculation puts the uncorrected formation energy at -0.99 eV/f.u. The value obtained for the magnetization is 0.0000 μB/atom.

CIF file:
```
data_Sc2ReSb
_chemical_formula_sum 'Sc2 Re1 Sb1'
_space_group_name_H-M_alt 'P 1 m 1'
_space_group_IT_number 6
_cell_length_a 3.502
_cell_length_b 4.479
_cell_length_c 5.505
_cell_angle_alpha 90.00
_cell_angle_beta 107.99
_cell_angle_gamma 90.00
loop_
_space_group_symop_operation_xyz
'x,y,z'
'x,-y,z'
loop_
_atom_site_label
_atom_site_type_symbol
_atom_site_fract_x
_atom_site_fract_y
_atom_site_fract_z
Sc1 Sc 0.000 0.000 0.000
Sc2 Sc 0.294 0.500 0.608
Re1 Re 0.568 0.500 0.133
Sb1 Sb 0.714 0.000 0.442
```

---

An optimized crystal structure of Mn2BeAs. Source: Alexandria, functional GGA-PBE.

## Properties
Its uncorrected energy is -26.4 eV per formula unit. The polymorph energy (0 for the lowest one) comes out at 114 meV per atom. The value obtained for the magnetization is 0.9954 μB/atom. Its calculated formation energy is 71 meV per atom.

CIF file:
```
data_Mn2BeAs
_chemical_formula_sum 'Mn4 Be2 As2'
_space_group_name_H-M_alt 'C m m m'
_space_group_IT_number 65
_space_group_name_Hall '-C 2 2'
_cell_length_a 5.200
_cell_length_b 6.437
_cell_length_c 2.777
_cell_angle_alpha 90.00
_cell_angle_beta 90.00
_cell_angle_gamma 90.00
loop_
_atom_site_label
_atom_site_type_symbol
_atom_site_fract_x
_atom_site_fract_y
_atom_site_fract_z
Mn1 Mn 0.250 0.250 0.000
Be1 Be 0.000 0.000 0.500
As1 As 0.000 0.500 0.500
```